A relaxed structure of SrMgGe2Ir, computed with PBE-GGA.

Geometry as POSCAR:
```
SrMgGe2Ir
1.0
-2.1218 2.1218 5.6874
2.1218 -2.1218 5.6874
2.1218 2.1218 -5.6874
Sr Mg Ge Ir
1 1 2 1
Cartesian
0.0000 0.0000 0.0000 Sr
0.0000 2.1218 2.8437 Mg
0.0000 0.0000 4.3331 Ge
0.0000 0.0000 7.0416 Ge
2.1218 0.0000 2.8437 Ir
```

- total magnetic moment (μB per formula unit) = 0.00
- SG = No. 119
- E_tot (eV per atom) = -4.73
- calculated volume (Å³/cell) = 102